The following is a GGA-PBE calculation of an optimized crystal structure of KSi2Br, from Alexandria.

Properties
The value obtained for the total energy is -39.85 eV for the cell shown. The distance to the lowest polymorph of the same formula is 1308.5 meV/atom. As for the formation energy without anion corrections: 0.91 eV/atom.

Cell: 7.4755 7.4755 7.4755 Å, 90.00 90.00 90.00°
Space group Fm-3m (No. 225)
Asymmetric unit:
1 K 0.0000 0.0000 0.0000 [4 per cell]
2 Si 0.2500 0.2500 0.2500 [8 per cell]
3 Br 0.0000 0.0000 0.5000 [4 per cell]

=====

The following is a GGA-PBE calculation of an optimized crystal structure of La8In2Co, from Alexandria.

Properties
The value obtained for the total energy is -109.13 eV for the cell shown. The formation energy is -0.233 eV/atom.

Cell: 18.6361 5.6811 6.9611 Å, 90.00 111.65 90.00°
Space group C2/m (No. 12)
Asymmetric unit:
1 La 0.0023 0.0000 0.2847 [4 per cell]
2 La 0.0896 0.5000 0.8861 [4 per cell]
3 La 0.1430 0.5000 0.4195 [4 per cell]
4 La 0.2123 0.0000 0.7443 [4 per cell]
5 In 0.1740 0.0000 0.1861 [4 per cell]
6 Co 0.0000 0.5000 0.5000 [2 per cell]

=====

The following is a GGA-PBE calculation of an optimized crystal structure of LaTbInPb, from Alexandria.

Properties
The value obtained for the total energy is -71.51 eV for the cell shown. The distance to the lowest polymorph of the same formula is 32.8 meV/atom. The formation energy is -0.468 eV/atom.

Cell: 7.8133 7.8133 7.8133 Å, 90.00 90.00 90.00°
Space group F-43m (No. 216)
Asymmetric unit:
1 La 0.0000 0.0000 0.0000 [4 per cell]
2 Tb 0.0000 0.0000 0.5000 [4 per cell]
3 In 0.2500 0.2500 0.7500 [4 per cell]
4 Pb 0.2500 0.2500 0.2500 [4 per cell]

=====

The following is a GGA-PBE calculation of an optimized crystal structure of YMnPd2, from Alexandria.

Properties
The value obtained for the total energy is -28.01 eV for the cell shown. The formation energy is -0.497 eV/atom.

Cell: 3.3530 3.3530 6.5446 Å, 90.00 90.00 90.00°
Space group P4/mmm (No. 123)
Asymmetric unit:
1 Y 0.0000 0.0000 0.0000 [1 per cell]
2 Mn 0.0000 0.0000 0.5000 [1 per cell]
3 Pd 0.5000 0.5000 0.2792 [2 per cell]